# 1
The following is a meta-GGA SCAN calculation of SbOsI2Br at its PBEsol-relaxed geometry, from the Alexandria database.

a b c (Å): 5.6522 5.6522 5.4852
angles (deg): 90.00 90.00 90.00
With the nearest neighbours (Å) after each atom.
Space group P4/mmm (No. 123)
One atom of each set of equivalent atoms:
Sb 0.0000 0.0000 0.0000  2 Br 2.74
Os 0.5000 0.5000 0.0000  8 I 3.94, 4 Sb 4.00
I 0.0000 0.5000 0.5000  2 Br 2.83
Br 0.0000 0.0000 0.5000  2 Sb 2.74, 4 I 2.83

Calculated values
Magnetization, Bohr magnetons per cell: 3.47
Uncorrected formation energy, eV per atom: 1.9740

# 2
The following is a meta-GGA SCAN calculation of PIBr3 at its PBEsol-relaxed geometry, from the Alexandria database.

a b c (Å): 5.6206 5.6206 5.6206
angles (deg): 90.00 90.00 90.00
With the nearest neighbours (Å) after each atom.
Space group Pm-3m (No. 221)
One atom of each set of equivalent atoms:
P 0.0000 0.0000 0.0000  12 Br 3.97
I 0.5000 0.5000 0.5000  6 Br 2.81
Br 0.0000 0.5000 0.5000  2 I 2.81

Calculated values
Magnetization, Bohr magnetons per cell: 2.67
Uncorrected formation energy, eV per atom: 0.7284